Li3Br | GGA-PBE | optimized geometry

**V**: 23.099 Å³/atom
**Offset from the most stable computed form**: 107 meV/atom
**DOS(E_F)**: 1.28 states/eV/f.u.

Cell lengths 7.1796, 7.1796, 4.7038 Å; angles 90.00, 90.00, 130.35 degrees
Element x y z (fractional)
Li1 0.1459 0.8541 0.7500
Li2 0.1817 0.3046 0.7500
Li3 0.3046 0.1817 0.2500
Li4 0.6954 0.8183 0.7500
Li5 0.8183 0.6954 0.2500
Li6 0.8541 0.1459 0.2500
Br1 0.3873 0.6127 0.2500
Br2 0.6127 0.3873 0.7500


PrScNiPd | GGA-PBE | optimized geometry

**Formation energy**: -1.90 eV/f.u.
**V**: 20.395 Å³/atom
**DOS(E_F)**: 4.87 states/eV/f.u.

Cell lengths 4.8682, 4.8682, 4.8682 Å; angles 60.00, 60.00, 60.00 degrees
Element x y z (fractional)
Pr1 0.0000 0.0000 0.0000
Sc1 0.5000 0.5000 0.5000
Ni1 0.2500 0.2500 0.2500
Pd1 0.7500 0.7500 0.7500


Na3AuI6 | GGA-PBE | optimized geometry

**V**: 38.108 Å³/atom
**Raw total energy**: -2.34 eV per atom
**DOS(E_F)**: 4.16 states/eV/f.u.

Cell lengths 9.1352, 9.1352, 9.1352 Å; angles 90.74, 90.74, 90.74 degrees
Element x y z (fractional)
Na1 0.1292 0.5651 0.1860
Na2 0.1860 0.1292 0.5651
Na3 0.4349 0.8140 0.8708
Na4 0.5651 0.1860 0.1292
Na5 0.8140 0.8708 0.4349
Na6 0.8708 0.4349 0.8140
Au1 0.0000 0.0000 0.0000
Au2 0.5000 0.5000 0.5000
I1 0.0875 0.7135 0.8828
I2 0.1172 0.9125 0.2865
I3 0.1839 0.4790 0.5121
I4 0.2865 0.1172 0.9125
I5 0.4790 0.5121 0.1839
I6 0.4879 0.8161 0.5210
I7 0.5121 0.1839 0.4790
I8 0.5210 0.4879 0.8161
I9 0.7135 0.8828 0.0875
I10 0.8161 0.5210 0.4879
I11 0.8828 0.0875 0.7135
I12 0.9125 0.2865 0.1172


VTe2Pd | GGA-PBE | optimized geometry

**V**: 22.950 Å³/atom
**Offset from the most stable computed form**: 54 meV/atom
**DOS(E_F)**: 1.74 states/eV/f.u.

Cell lengths 8.8785, 8.8785, 8.8785 Å; angles 22.75, 22.75, 22.75 degrees
Element x y z (fractional)
V1 0.0000 0.0000 0.0000
Te1 0.4005 0.4005 0.4005
Te2 0.5995 0.5995 0.5995
Pd1 0.5000 0.5000 0.5000